No. 1
Material: LiCeAu2
Method: DFT, PBE-GGA
State: optimized geometry

Results
ρ: 11.1 Mg/m³
Space-group type: P4/mmm, No. 123
Total magnetization: 0.86 μB/cell

a = 3.3997 Å, b = 3.3997 Å, c = 6.9904 Å
α = 90.00°, β = 90.00°, γ = 90.00°
Each line ends with the local moment (μB).
Atoms (fractional coordinates):
Au1 0.0000 0.0000 0.7931  0.00
Au2 0.0000 0.0000 0.2069  0.00
Ce1 0.5000 0.5000 0.5000  0.70
Li1 0.5000 0.5000 0.0000  0.00


No. 2
Material: Li2CaZr
Method: DFT, PBE-GGA
State: optimized geometry

Results
ρ: 2.5 Mg/m³
Space-group type: Cmmm, No. 65
Total magnetization: 0.00 μB/cell
E above lowest polymorph: 0.066 eV/atom

a = 3.1203 Å, b = 3.1203 Å, c = 10.3028 Å
α = 90.00°, β = 90.00°, γ = 102.82°
Atoms (fractional coordinates):
Ca1 0.5000 0.5000 0.7500
Li1 0.0000 0.0000 0.0150
Li2 0.0000 0.0000 0.4850
Zr1 0.5000 0.5000 0.2500


no.,ΔE_f (kcal/mol of atoms),DOS at the Fermi energy (states/eV per atom)
1,-13.223,1.57
2,7.439,0.93